HoGa2 | PBE | optimized geometry

```
HoGa2
1.0
0.0000 6.7588 6.7588
6.7588 0.0000 6.7588
6.7588 6.7588 0.0000
Ho Ga
2 4
Cartesian
1.6897 1.6897 1.6897
11.8279 11.8279 11.8279
0.0000 0.0000 0.0000
3.3794 3.3794 0.0000
3.3794 0.0000 3.3794
0.0000 3.3794 3.3794
```

## Properties
calculated volume = 102.9 Å³/atom
E_tot = -0.1633 Ry per atom

=====

HoGa3 | PBE | optimized geometry

```
HoGa3
1.0
3.0492 1.7604 11.8562
-3.0492 1.7604 11.8562
0.0000 -3.5209 11.8562
Ho Ga
5 15
Cartesian
0.0000 0.0000 0.0000
0.0000 0.0000 4.6458
0.0000 0.0000 14.2258
0.0000 0.0000 21.3429
0.0000 0.0000 30.9229
-1.5246 -0.8802 11.8562
0.0000 -1.5688 9.5014
-1.3586 0.7844 9.5014
-1.5320 -0.8845 16.6247
0.0000 -1.7690 18.9440
-1.5320 0.8845 18.9440
-1.3586 -0.7844 26.0672
-1.5246 0.8802 23.7125
0.0000 1.7604 11.8562
1.3586 0.7844 9.5015
1.5320 -0.8845 16.6247
0.0000 1.7690 16.6247
1.5320 0.8845 18.9440
1.3586 -0.7844 26.0672
0.0000 1.5688 26.0672
```

## Properties
calculated volume = 19.1 Å³/atom
E_tot = -0.2895 Ry per atom